{"formula": "Tb3ZnCo", "functional": "PBE-GGA", "state": "optimized geometry", "final_energy_ev_per_cell": -46.5, "space_group": "P-1 (2)", "lattice_angstrom": [[5.4982, 0.0000, 0.0000], [2.7483, 5.6563, 0.0000], [1.5358, 2.1669, 7.6871]], "species": ["Tb", "Tb", "Tb", "Tb", "Tb", "Tb", "Zn", "Zn", "Co", "Co"], "fractional_positions": [[0.0234, 0.1733, 0.1232], [0.3564, 0.1906, 0.6770], [0.3617, 0.4696, 0.2338], [0.6383, 0.5304, 0.7662], [0.6436, 0.8094, 0.3230], [0.9766, 0.8267, 0.8768], [0.1118, 0.7653, 0.5112], [0.8882, 0.2347, 0.4888], [0.4608, 0.8293, 0.9859], [0.5392, 0.1707, 0.0141]]}



{"formula": "GaBiRh3", "functional": "PBE-GGA", "state": "optimized geometry", "final_energy_ev_per_cell": -27.0, "relative_energy_ev_per_fu": 0.00, "space_group": "Pm-3m (221)", "lattice_angstrom": [[4.6025, 0.0000, 0.0000], [0.0000, 4.6025, 0.0000], [0.0000, 0.0000, 4.6025]], "species": ["Ga", "Bi", "Rh", "Rh", "Rh"], "fractional_positions": [[0.0000, 0.0000, 0.0000], [0.5000, 0.5000, 0.5000], [0.0000, 0.0000, 0.5000], [0.0000, 0.5000, 0.0000], [0.5000, 0.0000, 0.0000]]}



{"formula": "TaSbTe2Br", "functional": "PBE-GGA", "state": "optimized geometry", "e_form_raw_mev_per_atom": 135, "final_energy_ev_per_cell": -23.3, "relative_energy_ev_per_fu": 0.00, "space_group": "P4/mmm (123)", "lattice_angstrom": [[5.3222, 0.0000, 0.0000], [0.0000, 5.3222, 0.0000], [0.0000, 0.0000, 5.5157]], "species": ["Ta", "Sb", "Te", "Te", "Br"], "fractional_positions": [[0.0000, 0.0000, 0.0000], [0.0000, 0.0000, 0.5000], [0.0000, 0.5000, 0.0000], [0.5000, 0.0000, 0.0000], [0.5000, 0.5000, 0.5000]]}